(1)
Nd3Be2AgPd9 | PBE-GGA | optimized geometry

For the formation energy, the calculation gives -0.493 eV/atom.

The structure belongs to space group P-3m1 (No. 164); the cell edges are 6.7920, 6.7920 and 7.1446 Å and the angles 90.00°, 90.00° and 120.00°. The inequivalent atoms are Nd at (0.0000, 0.0000, 0.0000), Nd at (0.3333, 0.6667, 0.6650), Be at (0.3333, 0.6667, 0.1262), Ag at (0.0000, 0.0000, 0.5000), Pd at (0.0000, 0.5000, 0.0000) and Pd at (0.1904, 0.3807, 0.3190).

***

(2)
PmNdBeAg | PBE-GGA | optimized geometry

For the formation energy, the calculation gives 0.010 eV/atom.

The structure belongs to space group F-43m (No. 216); the cell edges are 7.314, 7.314 and 7.314 Å and the angles 90.00°, 90.00° and 90.00°. The inequivalent atoms are Pm at (0.000, 0.000, 0.000), Nd at (0.000, 0.000, 0.500), Be at (0.250, 0.250, 0.750) and Ag at (0.250, 0.250, 0.250).

***

(3)
Nd2Be3AgPt4 | PBE-GGA | optimized geometry

For the formation energy, the calculation gives -0.747 eV/atom.

The structure belongs to space group P-4m2 (No. 115); the cell edges are 4.063, 4.063 and 10.497 Å and the angles 90.00°, 90.00° and 90.00°. The inequivalent atoms are Nd at (0.000, 0.500, 0.240), Be at (0.000, 0.500, 0.890), Be at (0.500, 0.500, 0.500), Ag at (0.000, 0.000, 0.500), Pt at (0.000, 0.000, 0.000), Pt at (0.000, 0.500, 0.667) and Pt at (0.500, 0.500, 0.000).

***

(4)
NdSmBeAg | PBE-GGA | optimized geometry

For the formation energy, the calculation gives 0.005 eV/atom.

The structure belongs to space group F-43m (No. 216); the cell edges are 7.294, 7.294 and 7.294 Å and the angles 90.00°, 90.00° and 90.00°. The inequivalent atoms are Nd at (0.000, 0.000, 0.000), Sm at (0.000, 0.000, 0.500), Be at (0.250, 0.250, 0.250) and Ag at (0.250, 0.250, 0.750).

***

(5)
TbNdBeAg | PBE-GGA | optimized geometry

For the formation energy, the calculation gives -0.013 eV/atom.

The structure belongs to space group F-43m (No. 216); the cell edges are 7.234, 7.234 and 7.234 Å and the angles 90.00°, 90.00° and 90.00°. The inequivalent atoms are Tb at (0.000, 0.000, 0.000), Nd at (0.000, 0.000, 0.500), Be at (0.250, 0.250, 0.750) and Ag at (0.250, 0.250, 0.250).

***

(6)
BeNi2Ag | PBE-GGA | optimized geometry

For the formation energy, the calculation gives 0.020 eV/atom.

The structure belongs to space group C2/m (No. 12); the cell edges are 9.237, 2.697 and 4.180 Å and the angles 90.00°, 116.69° and 90.00°. The inequivalent atoms are Be at (0.000, 0.000, 0.000), Ni at (0.217, 0.500, 0.217) and Ag at (0.000, 0.500, 0.500).

***

(7)
BeNiAg2 | PBE-GGA | optimized geometry

For the formation energy, the calculation gives 0.218 eV/atom.

The structure belongs to space group P4/mmm (No. 123); the cell edges are 3.891, 3.891 and 3.658 Å and the angles 90.00°, 90.00° and 90.00°. The inequivalent atoms are Be at (0.000, 0.000, 0.000), Ni at (0.500, 0.500, 0.000) and Ag at (0.000, 0.500, 0.500).

***

(8)
Be2Ni2Ag | PBE-GGA | optimized geometry

For the formation energy, the calculation gives -0.151 eV/atom. Its excess energy over the best structure of this formula in the dataset is 0.00 eV per formula unit.

The structure belongs to space group P4/mbm (No. 127); the cell edges are 6.422, 6.422 and 2.627 Å and the angles 90.00°, 90.00° and 90.00°. The inequivalent atoms are Be at (0.131, 0.369, 0.000), Ni at (0.155, 0.655, 0.500) and Ag at (0.000, 0.000, 0.000).

***

(9)
BeNi2Ag | PBE-GGA | optimized geometry

For the formation energy, the calculation gives 0.116 eV/atom.

The structure belongs to space group P4/mmm (No. 123); the cell edges are 3.556, 3.556 and 3.764 Å and the angles 90.00°, 90.00° and 90.00°. The inequivalent atoms are Be at (0.000, 0.000, 0.000), Ni at (0.000, 0.500, 0.500) and Ag at (0.500, 0.500, 0.000).

***

(10)
BeNiAg4 | PBE-GGA | optimized geometry

For the formation energy, the calculation gives 0.672 eV/atom.

The structure belongs to space group F-43m (No. 216); the cell edges are 7.526, 7.526 and 7.526 Å and the angles 90.00°, 90.00° and 90.00°. The inequivalent atoms are Be at (0.000, 0.000, 0.000), Ni at (0.250, 0.250, 0.750) and Ag at (0.125, 0.125, 0.375).

***

(11)
BeNiAg2 | PBE-GGA | optimized geometry

For the formation energy, the calculation gives 0.216 eV/atom.

The structure belongs to space group P2/m (No. 10); the cell edges are 2.886, 2.898 and 6.468 Å and the angles 90.00°, 90.11° and 90.00°. The inequivalent atoms are Be at (0.000, 0.000, 0.000), Ni at (0.000, 0.000, 0.500) and Ag at (0.499, 0.500, 0.771).

***

(12)
BeNi2Ag | PBE-GGA | optimized geometry

For the formation energy, the calculation gives -0.087 eV/atom.

The structure belongs to space group P4/mmm (No. 123); the cell edges are 2.672, 2.672 and 6.515 Å and the angles 90.00°, 90.00° and 90.00°. The inequivalent atoms are Be at (0.000, 0.000, 0.000), Ni at (0.500, 0.500, 0.193) and Ag at (0.000, 0.000, 0.500).

***

(13)
BeNiAg2 | PBE-GGA | optimized geometry

For the formation energy, the calculation gives 0.230 eV/atom.

The structure belongs to space group I-4m2 (No. 119); the cell edges are 3.810, 3.810 and 7.649 Å and the angles 90.00°, 90.00° and 90.00°. The inequivalent atoms are Be at (0.000, 0.000, 0.000), Ni at (0.000, 0.500, 0.750), Ag at (0.000, 0.000, 0.500) and Ag at (0.000, 0.500, 0.250).

***

(14)
BeNiAg3 | PBE-GGA | optimized geometry

For the formation energy, the calculation gives 0.637 eV/atom. Its excess energy over the best structure of this formula in the dataset is 0.00 eV per formula unit.

The structure belongs to space group Pm-3m (No. 221); the cell edges are 4.352, 4.352 and 4.352 Å and the angles 90.00°, 90.00° and 90.00°. The inequivalent atoms are Be at (0.000, 0.000, 0.000), Ni at (0.500, 0.500, 0.500) and Ag at (0.000, 0.000, 0.500).

***

(15)
BeNi2Ag | PBE-GGA | optimized geometry

For the formation energy, the calculation gives 0.094 eV/atom.

The structure belongs to space group Cm (No. 8); the cell edges are 8.269, 2.659 and 4.535 Å and the angles 90.00°, 103.99° and 90.00°. The inequivalent atoms are Be at (0.000, 0.000, 0.000), Ni at (0.022, 0.500, 0.604), Ni at (0.275, 0.000, 0.803) and Ag at (0.251, 0.500, 0.286).

***

(16)
BeNiAg2 | PBE-GGA | optimized geometry

For the formation energy, the calculation gives 0.282 eV/atom.

The structure belongs to space group F-43m (No. 216); the cell edges are 6.084, 6.084 and 6.084 Å and the angles 90.00°, 90.00° and 90.00°. The inequivalent atoms are Be at (0.000, 0.000, 0.000), Ni at (0.250, 0.250, 0.250), Ag at (0.000, 0.000, 0.500) and Ag at (0.250, 0.250, 0.750).

***

(17)
BeNi2Ag | PBE-GGA | optimized geometry

For the formation energy, the calculation gives 0.130 eV/atom.

The structure belongs to space group I4/mmm (No. 139); the cell edges are 3.594, 3.594 and 7.401 Å and the angles 90.00°, 90.00° and 90.00°. The inequivalent atoms are Be at (0.000, 0.000, 0.000), Ni at (0.000, 0.500, 0.250) and Ag at (0.000, 0.000, 0.500).

***

(18)
BeNi2Ag | PBE-GGA | optimized geometry

For the formation energy, the calculation gives 0.003 eV/atom.

The structure belongs to space group Pmm2 (No. 25); the cell edges are 2.716, 2.747 and 6.282 Å and the angles 90.00°, 90.00° and 90.00°. The inequivalent atoms are Be at (0.000, 0.000, 0.000), Ni at (0.000, 0.000, 0.416), Ni at (0.500, 0.500, 0.174) and Ag at (0.500, 0.500, 0.724).

***

(19)
BeNi2Ag | PBE-GGA | optimized geometry

For the formation energy, the calculation gives 0.417 eV/atom.

The structure belongs to space group I-42d (No. 122); the cell edges are 3.447, 3.447 and 17.309 Å and the angles 90.00°, 90.00° and 90.00°. The inequivalent atoms are Be at (0.000, 0.000, 0.000), Ni at (0.222, 0.250, 0.125) and Ag at (0.000, 0.000, 0.500).

***

(20)
BeNi2Ag | PBE-GGA | optimized geometry

For the formation energy, the calculation gives 0.121 eV/atom.

The structure belongs to space group I-4m2 (No. 119); the cell edges are 3.740, 3.740 and 6.815 Å and the angles 90.00°, 90.00° and 90.00°. The inequivalent atoms are Be at (0.000, 0.000, 0.000), Ni at (0.000, 0.000, 0.500), Ni at (0.000, 0.500, 0.750) and Ag at (0.000, 0.500, 0.250).

***

(21)
BeNiAg2 | PBE-GGA | optimized geometry

For the formation energy, the calculation gives -0.003 eV/atom.

The structure belongs to space group Pm (No. 6); the cell edges are 2.785, 2.799 and 6.933 Å and the angles 90.00°, 90.09° and 90.00°. The inequivalent atoms are Be at (0.000, 0.000, 0.000), Ni at (0.501, 0.500, 0.152), Ag at (0.498, 0.500, 0.752) and Ag at (0.999, 0.000, 0.429).

***

(22)
BeNiAg2 | PBE-GGA | optimized geometry

For the formation energy, the calculation gives 0.513 eV/atom.

The structure belongs to space group I-42d (No. 122); the cell edges are 3.700, 3.700 and 17.933 Å and the angles 90.00°, 90.00° and 90.00°. The inequivalent atoms are Be at (0.000, 0.000, 0.000), Ni at (0.000, 0.000, 0.500) and Ag at (0.246, 0.250, 0.125).

***

(23)
BeNi2Ag | PBE-GGA | optimized geometry

For the formation energy, the calculation gives 0.103 eV/atom.

The structure belongs to space group Imm2 (No. 44); the cell edges are 2.763, 4.197 and 8.167 Å and the angles 90.00°, 90.00° and 90.00°. The inequivalent atoms are Be at (0.000, 0.000, 0.000), Ni at (0.000, 0.000, 0.476), Ni at (0.000, 0.500, 0.707) and Ag at (0.000, 0.500, 0.259).

***

(24)
BeNiAg2 | PBE-GGA | optimized geometry

For the formation energy, the calculation gives 0.142 eV/atom.

The structure belongs to space group R3m (No. 160, hexagonal axes); the cell edges are 2.7880, 2.7880 and 24.8758 Å and the angles 90.00°, 90.00° and 120.00°. The inequivalent atoms are Be at (0.0000, 0.0000, 0.0000), Ni at (0.0000, 0.0000, 0.2712), Ag at (0.0000, 0.0000, 0.5142) and Ag at (0.0000, 0.0000, 0.7453).

***

(25)
BeNiAg2 | PBE-GGA | optimized geometry

For the formation energy, the calculation gives 0.320 eV/atom.

The structure belongs to space group C2/m (No. 12); the cell edges are 5.298, 8.659 and 2.739 Å and the angles 90.00°, 115.13° and 90.00°. The inequivalent atoms are Be at (0.000, 0.000, 0.000), Ni at (0.000, 0.500, 0.000) and Ag at (0.250, 0.250, 0.500).

***

(26)
Be4NiAg | PBE-GGA | optimized geometry

For the formation energy, the calculation gives -0.111 eV/atom.

The structure belongs to space group F-43m (No. 216); the cell edges are 6.155, 6.155 and 6.155 Å and the angles 90.00°, 90.00° and 90.00°. The inequivalent atoms are Be at (0.124, 0.124, 0.124), Ni at (0.250, 0.250, 0.750) and Ag at (0.000, 0.000, 0.500).

***

(27)
BeNiAg2 | PBE-GGA | optimized geometry

For the formation energy, the calculation gives 0.115 eV/atom.

The structure belongs to space group Cm (No. 8); the cell edges are 9.823, 2.804 and 4.407 Å and the angles 90.00°, 116.54° and 90.00°. The inequivalent atoms are Be at (0.000, 0.000, 0.000), Ni at (0.310, 0.000, 0.812), Ag at (0.025, 0.500, 0.526) and Ag at (0.236, 0.500, 0.237).

***

(28)
BeNiAg2 | PBE-GGA | optimized geometry

For the formation energy, the calculation gives 0.238 eV/atom.

The structure belongs to space group Immm (No. 71); the cell edges are 2.933, 4.365 and 8.680 Å and the angles 90.00°, 90.00° and 90.00°. The inequivalent atoms are Be at (0.000, 0.000, 0.000), Ni at (0.000, 0.000, 0.500) and Ag at (0.000, 0.500, 0.284).

***

Number 1: DOS(E_F) 0.366 states/eV/atom, volume 19.0 Å³/atom. Number 2: DOS(E_F) 0.907 states/eV/atom, volume 24.5 Å³/atom. Number 3: DOS(E_F) 0.306 states/eV/atom, volume 17.3 Å³/atom. Number 4: DOS(E_F) 0.859 states/eV/atom, volume 24.3 Å³/atom. Number 5: DOS(E_F) 0.688 states/eV/atom, volume 23.7 Å³/atom. Number 6: DOS(E_F) 0.844 states/eV/atom, volume 11.6 Å³/atom. Number 7: DOS(E_F) 0.315 states/eV/atom, volume 13.8 Å³/atom. Number 8: DOS(E_F) 0.394 states/eV/atom, volume 10.8 Å³/atom. Number 9: DOS(E_F) 0.900 states/eV/atom, volume 11.9 Å³/atom. Number 10: DOS(E_F) 0.537 states/eV/atom, volume 17.8 Å³/atom. Number 11: DOS(E_F) 0.560 states/eV/atom, volume 13.5 Å³/atom. Number 12: DOS(E_F) 0.610 states/eV/atom, volume 11.6 Å³/atom. Number 13: DOS(E_F) 0.364 states/eV/atom, volume 13.9 Å³/atom. Number 14: DOS(E_F) 0.653 states/eV/atom, volume 16.5 Å³/atom. Number 15: DOS(E_F) 0.789 states/eV/atom, volume 12.1 Å³/atom. Number 16: DOS(E_F) 0.583 states/eV/atom, volume 14.1 Å³/atom. Number 17: DOS(E_F) 0.814 states/eV/atom, volume 12.0 Å³/atom. Number 18: DOS(E_F) 0.943 states/eV/atom, volume 11.7 Å³/atom. Number 19: DOS(E_F) 1.034 states/eV/atom, volume 12.9 Å³/atom. Number 20: DOS(E_F) 0.929 states/eV/atom, volume 11.9 Å³/atom. Number 21: DOS(E_F) 0.376 states/eV/atom, volume 13.5 Å³/atom. Number 22: DOS(E_F) 0.452 states/eV/atom, volume 15.3 Å³/atom. Number 23: DOS(E_F) 0.713 states/eV/atom, volume 11.8 Å³/atom. Number 24: DOS(E_F) 0.426 states/eV/atom, volume 14.0 Å³/atom. Number 25: DOS(E_F) 0.330 states/eV/atom, volume 14.2 Å³/atom. Number 26: DOS(E_F) 0.365 states/eV/atom, volume 9.7 Å³/atom. Number 27: DOS(E_F) 0.356 states/eV/atom, volume 13.6 Å³/atom. Number 28: DOS(E_F) 0.536 states/eV/atom, volume 13.9 Å³/atom.